## Ca2H7Pt2 (PBE)

Data for Ca2H7Pt2 after structural relaxation.

Cell: 4.643 5.009 5.009 Å, 93.89 90.71 90.71°
Atoms (fractional coordinates):
Ca 0.000 0.245 0.755
Ca 0.000 0.755 0.245
H 0.689 0.912 0.563
H 0.311 0.437 0.088
H 0.311 0.088 0.437
H 0.689 0.563 0.912
H 0.500 0.000 0.000
H 0.099 0.727 0.727
H 0.901 0.273 0.273
Pt 0.539 0.264 0.264
Pt 0.461 0.736 0.736

The value obtained for the size of the total moment is 0.00 μB per formula unit. As for the space group: No. 12. The total energy is -3.90 eV per atom.